(1)
# HoIn2Au | Alexandria via LeMat-Bulk | PBE-GGA | relaxed
# **Formation energy from the elements**: 47 meV per atom
# **Calculated volume**: 327.0 Å³/cell
# **E_tot**: -0.2415 Ry/atom
# **DOS(E_F)**: 11.32 states/eV per cell
data_HoIn2Au
_cell_length_a 3.4534
_cell_length_b 3.4534
_cell_length_c 31.6561
_cell_angle_alpha 90.00
_cell_angle_beta 90.00
_cell_angle_gamma 120.00
_symmetry_space_group_name_H-M 'R -3 m'
_symmetry_Int_Tables_number 166
_symmetry_space_group_name_Hall '-R 3 2"'
loop_
_atom_site_label
_atom_site_type_symbol
_atom_site_fract_x
_atom_site_fract_y
_atom_site_fract_z
_atom_site_occupancy
Ho1 Ho 0.0000 0.0000 0.0000 1
In1 In 0.0000 0.0000 0.0997 1
Au1 Au 0.0000 0.0000 0.5000 1

(2)
# HoIn2Au7 | Alexandria via LeMat-Bulk | PBE-GGA | relaxed
# **Formation energy from the elements**: -200 meV per atom
# **Calculated volume**: 493.6 Å³/cell
# **E_tot**: -0.2572 Ry/atom
# **DOS(E_F)**: 8.09 states/eV per cell
data_HoIn2Au7
_cell_length_a 7.5497
_cell_length_b 15.6232
_cell_length_c 4.1846
_cell_angle_alpha 90.00
_cell_angle_beta 90.00
_cell_angle_gamma 90.00
_symmetry_space_group_name_H-M 'C m m m'
_symmetry_Int_Tables_number 65
_symmetry_space_group_name_Hall '-C 2 2'
loop_
_atom_site_label
_atom_site_type_symbol
_atom_site_fract_x
_atom_site_fract_y
_atom_site_fract_z
_atom_site_occupancy
Ho1 Ho 0.0000 0.0000 0.0000 1
In1 In 0.0000 0.3073 0.5000 1
Au1 Au 0.0000 0.1943 0.0000 1
Au2 Au 0.0000 0.5000 0.5000 1
Au3 Au 0.1899 0.0977 0.5000 1

(3)
# HoInAu | Alexandria via LeMat-Bulk | PBE-GGA | relaxed
# **Formation energy from the elements**: -741 meV per atom
# **Calculated volume**: 207.1 Å³/cell
# **E_tot**: -0.3140 Ry/atom
# **DOS(E_F)**: 3.23 states/eV per cell
data_HoInAu
_cell_length_a 7.7093
_cell_length_b 7.7093
_cell_length_c 4.0238
_cell_angle_alpha 90.00
_cell_angle_beta 90.00
_cell_angle_gamma 120.00
_symmetry_space_group_name_H-M 'P -6 2 m'
_symmetry_Int_Tables_number 189
_symmetry_space_group_name_Hall 'P -6 -2'
loop_
_atom_site_label
_atom_site_type_symbol
_atom_site_fract_x
_atom_site_fract_y
_atom_site_fract_z
_atom_site_occupancy
Ho1 Ho 0.0000 0.5939 0.0000 1
In1 In 0.0000 0.2599 0.5000 1
Au1 Au 0.0000 0.0000 0.0000 1
Au2 Au 0.3333 0.6667 0.5000 1

Which of these has the lowest formation energy from the elements?
HoInAu